This record from Alexandria describes ZrRe3Ru after structural relaxation. The functional is PBE.

The structure belongs to space group Pm-3m (No. 221); the cell edges are 4.701, 4.701 and 4.701 Å and the angles 90.00°, 90.00° and 90.00°. The distinct sites, in fractional coordinates, are Zr at (0.000, 0.000, 0.000), Re at (0.000, 0.000, 0.500) and Ru at (0.500, 0.500, 0.500).

The calculated volume comes out at 104 Å³/cell. The total magnetization is 1.32 Bohr magnetons per cell. Its calculated formation energy is 2838 meV per atom. For the energy above the most stable polymorph in this dataset, the calculation gives 1.267 eV/atom. Its crystal system is cubic.

=====

This record from Alexandria describes Zr4ReRu after structural relaxation. The functional is PBE.

The structure belongs to space group F-43m (No. 216); the cell edges are 7.804, 7.804 and 7.804 Å and the angles 90.00°, 90.00° and 90.00°. The distinct sites, in fractional coordinates, are Zr at (0.125, 0.125, 0.125), Re at (0.250, 0.250, 0.750) and Ru at (0.000, 0.000, 0.500).

The calculated volume comes out at 475 Å³/cell. The total magnetization is 0.49 Bohr magnetons per cell. Its calculated formation energy is 723 meV per atom. For the energy above the most stable polymorph in this dataset, the calculation gives 0.990 eV/atom. Its crystal system is cubic.

=====

This record from Alexandria describes Zr2ReRu2 after structural relaxation. The functional is PBE.

The structure belongs to space group P4/mbm (No. 127); the cell edges are 6.521, 6.521 and 4.300 Å and the angles 90.00°, 90.00° and 90.00°. The distinct sites, in fractional coordinates, are Zr at (0.179, 0.321, 0.000), Re at (0.000, 0.000, 0.500) and Ru at (0.139, 0.639, 0.500).

The calculated volume comes out at 183 Å³/cell. The total magnetization is 0.00 Bohr magnetons per cell. Its calculated formation energy is -149 meV per atom. Its crystal system is tetragonal.

=====

This record from Alexandria describes Zr4ReRu after structural relaxation. The functional is PBE.

The structure belongs to space group P4/mmm (No. 123); the cell edges are 3.326, 3.326 and 10.556 Å and the angles 90.00°, 90.00° and 90.00°. The distinct sites, in fractional coordinates, are Zr at (0.000, 0.000, 0.151), Zr at (0.500, 0.500, 0.349), Re at (0.000, 0.000, 0.500) and Ru at (0.500, 0.500, 0.000).

The calculated volume comes out at 117 Å³/cell. The total magnetization is 0.00 Bohr magnetons per cell. Its calculated formation energy is -267 meV per atom. For the energy above the most stable polymorph in this dataset, the calculation gives 0.000 eV/atom. Its crystal system is tetragonal.

=====

This record from Alexandria describes Zr2ReRu after structural relaxation. The functional is PBE.

The structure belongs to space group C2/m (No. 12); the cell edges are 8.610, 3.147 and 5.526 Å and the angles 90.00°, 101.76° and 90.00°. The distinct sites, in fractional coordinates, are Zr at (0.250, 0.000, 0.250), Re at (0.000, 0.000, 0.500) and Ru at (0.000, 0.500, 0.000).

The calculated volume comes out at 147 Å³/cell. The total magnetization is 0.00 Bohr magnetons per cell. Its calculated formation energy is 1 meV per atom. Its crystal system is monoclinic.

=====

This record from Alexandria describes ZrRe2Ru2 after structural relaxation. The functional is PBE.

The structure belongs to space group P4/mbm (No. 127); the cell edges are 7.622, 7.622 and 2.775 Å and the angles 90.00°, 90.00° and 90.00°. The distinct sites, in fractional coordinates, are Zr at (0.000, 0.000, 0.000), Re at (0.171, 0.329, 0.500) and Ru at (0.125, 0.625, 0.000).

The calculated volume comes out at 161 Å³/cell. The total magnetization is 0.00 Bohr magnetons per cell. Its calculated formation energy is -31 meV per atom. Its crystal system is tetragonal.

=====

Question: Look up the calculated formation energy of the first one.
Answer: 2838 meV per atom

=====

Question: Which value of calculated formation energy does entry 6 give?
Answer: -31 meV per atom

=====

What did the sixth record say?
This record from Alexandria describes ZrRe2Ru2 after structural relaxation. The functional is PBE.

The structure belongs to space group P4/mbm (No. 127); the cell edges are 7.622, 7.622 and 2.775 Å and the angles 90.00°, 90.00° and 90.00°. The distinct sites, in fractional coordinates, are Zr at (0.000, 0.000, 0.000), Re at (0.171, 0.329, 0.500) and Ru at (0.125, 0.625, 0.000).

The calculated volume comes out at 161 Å³/cell. The total magnetization is 0.00 Bohr magnetons per cell. Its calculated formation energy is -31 meV per atom. Its crystal system is tetragonal.

=====

Question: Among the records above, which one has the highest calculated volume?
Answer: number 2